Record 1
The following is a SCAN calculation of InAgBr2 at its PBEsol-relaxed geometry, from Alexandria.

Lattice parameters (Å, degrees): 5.2197 5.2197 3.6252 90.00 90.00 90.00
Closest atoms and distances in Å follow each position.
Element x y z (fractional)
In: 0.0000 0.0000 0.0000  8 Br 3.18
Ag: 0.5000 0.5000 0.0000  8 Br 3.18
Br: 0.0000 0.5000 0.5000  4 In 3.18, 4 Ag 3.18
Br: 0.5000 0.0000 0.5000  4 In 3.18, 4 Ag 3.18

## Properties
The raw total energy is -105.0 eV/cell. As for the space group: P4/mmm, No. 123.

---

Record 2
The following is a SCAN calculation of LaCoSi at its PBEsol-relaxed geometry, from Alexandria.

Lattice parameters (Å, degrees): 3.9884 3.9884 7.1838 90.00 90.00 90.00
Closest atoms and distances in Å follow each position.
Element x y z (fractional)
La: 0.2500 0.2500 0.1856  4 Co 3.01, 4 Si 3.03
La: 0.7500 0.7500 0.8144  4 Co 3.01, 4 Si 3.03
Co: 0.2500 0.7500 0.5000  4 Si 2.30
Co: 0.7500 0.2500 0.5000  4 Si 2.30
Si: 0.2500 0.2500 0.6607  4 Co 2.30
Si: 0.7500 0.7500 0.3393  4 Co 2.30

## Properties
The raw total energy is -144.8 eV/cell. As for the space group: P4/nmm, No. 129.

---

Record 3
The following is a SCAN calculation of TcRuPt at its PBEsol-relaxed geometry, from Alexandria.

Lattice parameters (Å, degrees): 6.0663 6.0663 6.0663 154.23 154.23 36.77
Closest atoms and distances in Å follow each position.
Element x y z (fractional)
Tc: 0.0000 0.0000 0.0000  4 Ru 2.58, 4 Tc 2.71, 4 Pt 2.76
Ru: 0.3496 0.3496 0.0000  4 Tc 2.58, 4 Ru 2.71, 4 Pt 2.80
Pt: 0.6726 0.6726 0.0000  4 Pt 2.71, 4 Tc 2.76, 4 Ru 2.80

## Properties
The raw total energy is -140.5 eV/cell. The calculation puts the formation energy from the elements at -0.141 eV/atom. As for the space group: I4mm, No. 107.

---

Record 4
The following is a SCAN calculation of CaPbW2 at its PBEsol-relaxed geometry, from Alexandria.

Lattice parameters (Å, degrees): 2.9151 2.9151 9.8462 90.00 90.00 107.64
Closest atoms and distances in Å follow each position.
Element x y z (fractional)
Ca: 0.0000 0.0000 0.0000  4 Ca 2.92, 4 W 3.11
Pb: 0.0000 0.0000 0.5000  4 W 2.90, 4 Pb 2.92
W: 0.5000 0.5000 0.2632  2 Pb 2.90, 4 W 2.92, 2 Ca 3.11
W: 0.5000 0.5000 0.7368  2 Pb 2.90, 4 W 2.92, 2 Ca 3.11

## Properties
The raw total energy is -220.1 eV/cell. The calculation puts the formation energy from the elements at 1.192 eV/atom. As for the space group: Cmmm, No. 65.

---

Record 5
The following is a SCAN calculation of ZnTc2Sb at its PBEsol-relaxed geometry, from Alexandria.

Lattice parameters (Å, degrees): 3.0008 4.5350 4.5403 90.00 90.00 90.00
Closest atoms and distances in Å follow each position.
Element x y z (fractional)
Zn: 0.0000 0.0000 0.0000  6 Tc 2.68-2.76, 4 Sb 2.84, 2 Zn 3.00
Tc: 0.0000 0.5000 0.3166  2 Zn 2.68, 4 Sb 2.70-2.74, 6 Tc 2.83-3.00
Tc: 0.5000 0.0000 0.4899  4 Zn 2.68-2.76, 2 Sb 2.72, 6 Tc 2.83-3.00
Sb: 0.5000 0.5000 0.8218  6 Tc 2.70-2.74, 4 Zn 2.84, 2 Sb 3.00

## Properties
The raw total energy is -119.9 eV/cell. As for the space group: Pmm2, No. 25.

---

Record 6
The following is a SCAN calculation of BeTc2Se at its PBEsol-relaxed geometry, from Alexandria.

Lattice parameters (Å, degrees): 4.8738 4.8738 4.8738 143.61 130.36 63.09
Closest atoms and distances in Å follow each position.
Element x y z (fractional)
Be: 0.0000 0.0000 0.0000  6 Tc 2.44-2.55, 2 Se 2.59
Tc: 0.4988 0.4988 0.0000  4 Be 2.55, 2 Se 2.55, 4 Tc 2.72-2.79
Tc: 0.7708 0.2708 0.5000  2 Be 2.44, 4 Se 2.55, 2 Tc 2.72
Se: 0.2522 0.7522 0.5000  6 Tc 2.55, 2 Be 2.59

## Properties
The raw total energy is -93.6 eV/cell. As for the space group: Imm2, No. 44.

---

Record 7
The following is a SCAN calculation of CrRe2Hg at its PBEsol-relaxed geometry, from Alexandria.

Lattice parameters (Å, degrees): 2.8185 3.8502 5.6323 90.00 90.00 90.00
Closest atoms and distances in Å follow each position.
Element x y z (fractional)
Cr: 0.0000 0.0000 0.0000  1 Re 2.32
Re: 0.0000 0.0000 0.5878  1 Cr 2.32
Re: 0.5000 0.5000 0.7940  4 Cr 2.65, 6 Re 2.65-2.82, 2 Hg 2.76-2.87
Hg: 0.5000 0.5000 0.2843  6 Re 2.76-2.94, 2 Hg 2.82, 4 Cr 2.87

## Properties
The raw total energy is -226.9 eV/cell. The calculation puts the formation energy from the elements at 0.458 eV/atom. As for the space group: Pmm2, No. 25.

---

Record 8
The following is a SCAN calculation of KCd2Sb at its PBEsol-relaxed geometry, from Alexandria.

Lattice parameters (Å, degrees): 10.7980 10.7980 10.7980 18.59 18.59 18.59
Closest atoms and distances in Å follow each position.
Element x y z (fractional)
K: 0.0000 0.0000 0.0000  6 K 3.49, 6 Cd 3.50
Cd: 0.2432 0.2432 0.2432  3 Sb 3.16, 6 Cd 3.49, 3 K 3.50
Cd: 0.7568 0.7568 0.7568  3 Sb 3.16, 6 Cd 3.49, 3 K 3.50
Sb: 0.5000 0.5000 0.5000  6 Cd 3.16, 6 Sb 3.49

## Properties
The raw total energy is -105.9 eV/cell. As for the space group: R-3m, No. 166.

---

Record 9
The following is a SCAN calculation of Mg2InHgC at its PBEsol-relaxed geometry, from Alexandria.

Lattice parameters (Å, degrees): 5.3622 5.3622 5.3624 90.00 90.00 90.00
Closest atoms and distances in Å follow each position.
Element x y z (fractional)
Mg: 0.0000 0.5000 0.0000  2 In 2.68
Mg: 0.5000 0.0000 0.0000  2 In 2.68
In: 0.0000 0.0000 0.0000  4 Mg 2.68, 2 Hg 2.68
Hg: 0.0000 0.0000 0.5000  2 In 2.68
C: 0.5000 0.5000 0.5000  4 Hg 3.79, 8 Mg 3.79

## Properties
The raw total energy is -114.3 eV/cell. The calculation puts the formation energy from the elements at 1.467 eV/atom. As for the space group: P4/mmm, No. 123.

---

Record 10
The following is a SCAN calculation of Zr2OsPt at its PBEsol-relaxed geometry, from Alexandria.

Lattice parameters (Å, degrees): 4.4298 3.2293 5.3189 90.00 92.81 90.00
Closest atoms and distances in Å follow each position.
Element x y z (fractional)
Zr: 0.0000 0.0000 0.0000  2 Os 2.66, 4 Pt 2.74
Zr: 0.5000 0.5000 0.5000  2 Pt 2.66, 4 Os 2.74
Os: 0.0000 0.0000 0.5000  6 Zr 2.66-2.74
Pt: 0.5000 0.5000 0.0000  6 Zr 2.66-2.74

## Properties
The raw total energy is -205.4 eV/cell. The calculation puts the formation energy from the elements at -0.492 eV/atom. As for the space group: P2/m, No. 10.

---

Record 11
The following is a SCAN calculation of Tc2AsOs at its PBEsol-relaxed geometry, from Alexandria.

Lattice parameters (Å, degrees): 2.8381 3.9386 5.0721 90.00 90.00 90.00
Closest atoms and distances in Å follow each position.
Element x y z (fractional)
Tc: 0.0000 0.0000 0.2494  2 Tc 2.53-2.54, 4 As 2.74, 4 Os 2.74
Tc: 0.0000 0.0000 0.7506  2 Tc 2.53-2.54, 4 As 2.74, 4 Os 2.74
As: 0.5000 0.5000 0.0000  2 Os 2.54, 8 Tc 2.74, 2 As 2.84
Os: 0.5000 0.5000 0.5000  2 As 2.54, 8 Tc 2.74, 2 Os 2.84

## Properties
The raw total energy is -161.4 eV/cell. The calculation puts the formation energy from the elements at 0.198 eV/atom. As for the space group: Pmmm, No. 47.

---

Record 12
The following is a SCAN calculation of Fe3OF5 at its PBEsol-relaxed geometry, from Alexandria.

Lattice parameters (Å, degrees): 10.3636 10.3636 2.9736 90.00 90.00 141.69
Closest atoms and distances in Å follow each position.
Element x y z (fractional)
Fe: 0.0000 0.0000 0.0000  2 O 1.90, 4 F 2.10
Fe: 0.1563 0.8437 0.5000  2 O 1.89, 2 F 2.10
Fe: 0.3291 0.6709 0.0000  6 F 1.90-1.94
Fe: 0.5000 0.5000 0.5000  6 F 1.91-2.07
Fe: 0.6709 0.3291 0.0000  6 F 1.90-1.94
Fe: 0.8437 0.1563 0.5000  2 O 1.89, 2 F 2.10
O: 0.0968 0.9032 0.0000  3 Fe 1.89-1.90
O: 0.9032 0.0968 0.0000  3 Fe 1.89-1.90
F: 0.1473 0.4884 0.5000  2 Fe 1.94
F: 0.2191 0.2191 0.5000  3 Fe 1.91-2.10
F: 0.2323 0.7677 0.0000  3 Fe 1.90-2.10
F: 0.4265 0.5735 0.0000  3 Fe 1.91-2.07
F: 0.4884 0.1473 0.5000  2 Fe 1.94
F: 0.5116 0.8527 0.5000  2 Fe 1.94
F: 0.5735 0.4265 0.0000  3 Fe 1.91-2.07
F: 0.7677 0.2323 0.0000  3 Fe 1.90-2.10
F: 0.7809 0.7809 0.5000  3 Fe 1.91-2.10
F: 0.8527 0.5116 0.5000  2 Fe 1.94

## Properties
The raw total energy is -194.7 eV/cell. As for the space group: Cmmm, No. 65.

---

Record 13
The following is a SCAN calculation of ZnHgN2 at its PBEsol-relaxed geometry, from Alexandria.

Lattice parameters (Å, degrees): 5.7052 5.7052 5.7052 128.65 128.65 75.57
Closest atoms and distances in Å follow each position.
Element x y z (fractional)
Zn: 0.0000 0.0000 0.0000  4 N 1.96
Zn: 0.7500 0.2500 0.5000  4 N 1.96
Hg: 0.2500 0.7500 0.5000  4 N 2.21
Hg: 0.5000 0.5000 0.0000  4 N 2.21
N: 0.0815 0.6250 0.9565  2 Zn 1.96
N: 0.3750 0.3315 0.4565  2 Zn 1.96
N: 0.6685 0.1250 0.0435  2 Zn 1.96
N: 0.8750 0.9185 0.5435  2 Zn 1.96

## Properties
The raw total energy is -192.1 eV/cell. As for the space group: I-42d, No. 122.